# 1
# Tc3NiMo

A relaxed structure of Tc3NiMo (PBE-GGA, Alexandria via LeMat-Bulk).

Results
Energy of formation from the pure elements: 1954 meV/atom
ΔE to the lowest computed polymorph: 2.364 eV/f.u.
Crystal system: cubic
Final energy: -7.59 eV/atom

a = 4.6152 Å, b = 4.6152 Å, c = 4.6152 Å
α = 90.00°, β = 90.00°, γ = 90.00°
Last column: nearest neighbours and their distance in Å.
Fractional positions:
Ni: 0.5000 0.5000 0.5000  12 Tc 3.26
Tc: 0.5000 0.0000 0.0000  2 Mo 2.31
Tc: 0.0000 0.0000 0.5000  2 Mo 2.31
Tc: 0.0000 0.5000 0.0000  2 Mo 2.31
Mo: 0.0000 0.0000 0.0000  6 Tc 2.31

# 2
# Pm8Er2Tl

A relaxed structure of Pm8Er2Tl (PBE-GGA, Alexandria via LeMat-Bulk).

Results
Energy of formation from the pure elements: -42 meV/atom
ΔE to the lowest computed polymorph: 0.000 eV/f.u.
Crystal system: monoclinic
Final energy: -4.54 eV/atom

a = 5.0344 Å, b = 8.0605 Å, c = 9.4808 Å
α = 105.10°, β = 105.40°, γ = 90.00°
Last column: nearest neighbours and their distance in Å.
Fractional positions:
Pm: 0.6799 0.9086 0.3599  8 Pm 3.55-3.66, 1 Tl 3.56, 3 Er 3.59-3.63
Pm: 0.3201 0.0914 0.6401  8 Pm 3.55-3.66, 1 Tl 3.56, 3 Er 3.59-3.63
Pm: 0.5908 0.4434 0.1817  1 Tl 3.51, 8 Pm 3.54-3.67, 3 Er 3.55-3.59
Pm: 0.1368 0.1801 0.2736  7 Pm 3.54-3.61, 2 Tl 3.57, 3 Er 3.57-3.60
Pm: 0.8632 0.8199 0.7264  7 Pm 3.54-3.61, 2 Tl 3.57, 3 Er 3.57-3.60
Pm: 0.9547 0.2746 0.9094  9 Pm 3.54-3.64, 1 Er 3.55, 2 Tl 3.59
Pm: 0.4092 0.5566 0.8183  1 Tl 3.51, 8 Pm 3.54-3.67, 3 Er 3.55-3.59
Pm: 0.0453 0.7254 0.0906  9 Pm 3.54-3.64, 1 Er 3.55, 2 Tl 3.59
Er: 0.7755 0.3666 0.5510  10 Pm 3.55-3.63, 2 Er 3.59
Er: 0.2245 0.6334 0.4490  10 Pm 3.55-3.63, 2 Er 3.59
Tl: 0.5000 0.0000 0.0000  12 Pm 3.51-3.59

# 3
# ScMnPd5

A relaxed structure of ScMnPd5 (PBE-GGA, Alexandria via LeMat-Bulk).

Results
Energy of formation from the pure elements: -415 meV/atom
Crystal system: tetragonal
Final energy: -6.34 eV/atom

a = 4.1195 Å, b = 4.1195 Å, c = 6.8914 Å
α = 90.00°, β = 90.00°, γ = 90.00°
Last column: nearest neighbours and their distance in Å.
Fractional positions:
Pd: 0.5000 0.0000 0.7787  2 Mn 2.56, 2 Sc 2.82, 2 Pd 2.82
Pd: 0.0000 0.5000 0.7787  2 Mn 2.56, 2 Pd 2.82, 2 Sc 2.82
Pd: 0.0000 0.5000 0.2213  2 Mn 2.56, 2 Pd 2.82, 2 Sc 2.82
Pd: 0.5000 0.0000 0.2213  2 Mn 2.56, 2 Sc 2.82, 2 Pd 2.82
Pd: 0.5000 0.5000 0.5000  8 Pd 2.82, 4 Sc 2.91
Sc: 0.0000 0.0000 0.5000  12 Pd 2.82-2.91
Mn: 0.5000 0.5000 0.0000  8 Pd 2.56

# 4
# NaLa2P3Pd4

A relaxed structure of NaLa2P3Pd4 (PBE-GGA, Alexandria via LeMat-Bulk).

Results
Energy of formation from the pure elements: -874 meV/atom
Crystal system: tetragonal
Final energy: -5.69 eV/atom

a = 4.2228 Å, b = 4.2228 Å, c = 10.5525 Å
α = 90.00°, β = 90.00°, γ = 90.00°
Last column: nearest neighbours and their distance in Å.
Fractional positions:
P: 0.0000 0.0000 0.5000  4 Pd 2.61
P: 0.0000 0.5000 0.1303  5 Pd 2.36-2.52
P: 0.5000 0.0000 0.8697  5 Pd 2.36-2.52
Na: 0.5000 0.5000 0.5000  4 Pd 2.61
La: 0.5000 0.0000 0.2331  6 P 3.18-3.52, 8 Pd 3.24-3.25, 2 Na 3.52
La: 0.0000 0.5000 0.7669  6 P 3.18-3.52, 8 Pd 3.24-3.25, 2 Na 3.52
Pd: 0.5000 0.0000 0.6458  3 P 2.36-2.61, 2 Na 2.61
Pd: 0.5000 0.5000 0.0000  4 P 2.52
Pd: 0.0000 0.0000 0.0000  4 P 2.52
Pd: 0.0000 0.5000 0.3542  3 P 2.36-2.61, 2 Na 2.61

# 5
# CaTlB2Te

A relaxed structure of CaTlB2Te (PBE-GGA, Alexandria via LeMat-Bulk).

Results
Formation energy from raw total energies: 1.304 eV/atom
Crystal system: tetragonal
Final energy: -2.87 eV/atom

a = 4.6316 Å, b = 6.0779 Å, c = 4.6316 Å
α = 90.00°, β = 90.00°, γ = 90.00°
Last column: nearest neighbours and their distance in Å.
Fractional positions:
Tl: 0.0000 0.5000 0.0000  2 Te 3.04, 4 Ca 3.28
Te: 0.0000 0.0000 0.0000  4 B 2.32
B: 0.5000 0.0000 0.0000  2 Te 2.32
B: 0.0000 0.0000 0.5000  2 Te 2.32
Ca: 0.5000 0.5000 0.5000  4 Tl 3.28

# 6
# ThSbRuS

A relaxed structure of ThSbRuS (PBE-GGA, Alexandria via LeMat-Bulk).

Results
Formation energy from raw total energies: -1.035 eV/atom
Crystal system: tetragonal
Final energy: -7.27 eV/atom

a = 4.5368 Å, b = 4.5368 Å, c = 8.5467 Å
α = 90.00°, β = 90.00°, γ = 90.00°
Last column: nearest neighbours and their distance in Å.
Fractional positions:
Sb: 0.0000 0.5000 0.8407  4 Ru 2.65
Sb: 0.5000 0.0000 0.1593  4 Ru 2.65
S: 0.0000 0.0000 0.5000  4 Th 2.84
S: 0.5000 0.5000 0.5000  4 Th 2.84
Th: 0.5000 0.0000 0.6994  4 S 2.84
Th: 0.0000 0.5000 0.3006  4 S 2.84
Ru: 0.0000 0.0000 0.0000  4 Sb 2.65
Ru: 0.5000 0.5000 0.0000  4 Sb 2.65

# 7
# CdRh

A relaxed structure of CdRh (PBE-GGA, Alexandria via LeMat-Bulk).

Results
Energy of formation from the pure elements: 1146 meV/atom
Crystal system: cubic
Final energy: -2.99 eV/atom

a = 4.2501 Å, b = 4.2501 Å, c = 4.2501 Å
α = 60.00°, β = 60.00°, γ = 60.00°
Last column: nearest neighbours and their distance in Å.
Fractional positions:
Cd: 0.0000 0.0000 0.0000  4 Rh 2.60
Rh: 0.7500 0.7500 0.7500  4 Cd 2.60

# 8
# SrTeAuN2

A relaxed structure of SrTeAuN2 (PBE-GGA, Alexandria via LeMat-Bulk).

Results
ΔE to the lowest computed polymorph: 0.000 eV/f.u.
Formation energy from raw total energies: 0.945 eV/atom
Crystal system: tetragonal
Final energy: -4.01 eV/atom

a = 4.4391 Å, b = 4.4391 Å, c = 5.6957 Å
α = 90.00°, β = 90.00°, γ = 90.00°
Last column: nearest neighbours and their distance in Å.
Fractional positions:
Te: 0.0000 0.0000 0.5000  2 Au 2.85, 4 Sr 3.14
Au: 0.0000 0.0000 0.0000  4 N 2.22
N: 0.5000 0.0000 0.0000  2 Au 2.22
N: 0.0000 0.5000 0.0000  2 Au 2.22
Sr: 0.5000 0.5000 0.5000  4 Te 3.14

Question: final energy of number 4 (NaLa2P3Pd4)?
Answer: -5.69 eV/atom

Question: What is the final energy in the second record?
Answer: -4.54 eV/atom